Record 1
Here is crystalline LaSnH2 at its relaxed geometry from Alexandria via LeMat-Bulk. Energies are from PBE-GGA.

## Properties
**Final energy**: -4.170 eV per atom
**Total moment**: 0.0 Bohr magnetons per cell
**V**: 18.8 Å³ per atom

a b c (Å): 4.805 4.805 3.766
angles (deg): 90.00 90.00 120.00
Atoms (fractional coordinates):
La  0.000  0.000  0.000
Sn  0.333  0.667  0.500
H  0.667  0.333  0.107
H  0.667  0.333  0.893


Record 2
Here is crystalline MgSiTe2 at its relaxed geometry from Alexandria via LeMat-Bulk. Energies are from PBE-GGA.

## Properties
**Formation energy (no corrections)**: 44.2 meV/atom
**Distance to the lowest polymorph of the same formula**: 340 meV per atom
**Total moment**: 0.0 Bohr magnetons per cell
**V**: 31.1 Å³ per atom

a b c (Å): 5.622 5.622 4.417
angles (deg): 108.76 108.76 89.31
Atoms (fractional coordinates):
Mg  0.000  0.000  0.000
Si  0.500  0.500  0.000
Te  0.000  0.500  0.000
Te  0.500  0.000  0.000


Record 3
Here is crystalline Dy2ErSc at its relaxed geometry from Alexandria via LeMat-Bulk. Energies are from PBE-GGA.

## Properties
**Formation energy from the elements**: 41 meV/atom
**Distance to the lowest polymorph of the same formula**: 10 meV per atom
**Total moment**: 0.0 Bohr magnetons per cell
**V**: 29.4 Å³ per atom

a b c (Å): 4.908 4.908 4.875
angles (deg): 90.00 90.00 90.00
Atoms (fractional coordinates):
Dy  0.000  0.500  0.000
Dy  0.500  0.000  0.000
Er  0.000  0.000  0.500
Sc  0.500  0.500  0.500


Q: What is the formula in the second record?
A: MgSiTe2